# K2OsCl6

An optimized crystal structure of K2OsCl6 (PBE-GGA, the Open Quantum Materials Database).

Output
The polymorph energy (0 for the lowest one) comes out at 0 meV/atom. The value obtained for the density is 3.36 g/cm³. For the magnetic moment, the calculation gives 2.00 μB per formula unit.

Lattice parameters (Å, degrees): 6.934 6.934 9.901 90.00 90.00 90.00
Space group I4/m (No. 87)
Unique sites:
K 0.000 0.500 0.250
Os 0.000 0.000 0.000
Cl 0.000 0.000 0.237
Cl 0.222 0.254 0.000